ZrMnI2O: optimized geometry, PBE with a Hubbard U.

Results
- Distance to the lowest polymorph of the same formula: 531 meV per atom
- M_tot: 6.169 Bohr magnetons per cell
- VASP energy: -25.6 eV per formula unit

a = 5.7585 Å, b = 5.7585 Å, c = 3.6980 Å
α = 90.00°, β = 90.00°, γ = 90.00°
Last column: nearest neighbours and their distance in Å.
Space group P4/mmm (No. 123)
Symmetry-distinct sites (fractional):
Zr (0.0000, 0.0000, 0.0000) (multiplicity 1)  8 I 3.42, 2 Zr 3.70
Mn (0.5000, 0.5000, 0.5000) (multiplicity 1)  2 O 1.85
I (0.0000, 0.5000, 0.5000) (multiplicity 2)  2 Mn 2.88
O (0.5000, 0.5000, 0.0000) (multiplicity 1)  2 Mn 1.85